1.
Density functional theory data (PBE) for a geometry-optimized Mg2FeAs structure.

Structure (extended XYZ):
```
4
Lattice="1.5135 0.8738 8.8407 -1.5135 0.8738 8.8407 0.0000 -1.7476 8.8407" Properties=species:S:1:pos:R:3 pbc="T T T"
Mg 0.0000 0.0000 6.5387
Mg 0.0000 0.0000 19.9834
Fe 0.0000 0.0000 13.2611
As 0.0000 0.0000 0.0000
```

- Space-group type: R-3m, No. 166
- ΔE_f: 122 meV/atom

=====

2.
Density functional theory data (PBE) for a geometry-optimized Cr3Re structure.

Structure (extended XYZ):
```
4
Lattice="4.7589 0.0000 0.0000 0.0000 4.7589 0.0000 0.0000 0.0000 4.7589" Properties=species:S:1:pos:R:3 pbc="T T T"
Cr 0.0000 0.0000 2.3795
Cr 0.0000 2.3795 0.0000
Cr 2.3795 0.0000 0.0000
Re 0.0000 0.0000 0.0000
```

- Space-group type: Pm-3m, No. 221
- ΔE_f: 1902 meV/atom

=====

3.
Density functional theory data (PBE) for a geometry-optimized Dy4Bi3N structure.

Structure (extended XYZ):
```
16
Lattice="9.7518 0.0000 0.0000 0.0000 8.6434 0.0000 0.0000 0.0000 6.2992" Properties=species:S:1:pos:R:3 pbc="T T T"
Dy 0.0000 0.7450 0.0000
Dy 0.0000 7.0796 3.5806
Dy 1.9707 6.0398 0.0137
Dy 2.9052 2.6037 3.1633
Dy 4.8759 1.5638 0.4310
Dy 4.8759 7.8984 3.1496
Dy 6.8467 2.6037 3.1633
Dy 7.7811 6.0398 0.0137
Bi 0.0000 1.3917 3.0821
Bi 2.2459 2.9331 6.2397
Bi 2.6301 5.7103 3.0901
Bi 4.8759 7.2517 6.2317
Bi 7.1218 5.7103 3.0901
Bi 7.5060 2.9331 6.2397
N 0.0000 7.1121 5.8325
N 4.8759 1.5313 2.6829
```

- Space-group type: Pmn2_1, No. 31
- ΔE_f (raw): -75.41 kJ per mole of atoms

=====

4.
Density functional theory data (PBE) for a geometry-optimized AcCe2Te4 structure.

Structure (extended XYZ):
```
14
Lattice="2.2470 -7.4440 0.0000 2.2470 7.4440 0.0000 0.0000 0.0000 15.4531" Properties=species:S:1:pos:R:3 pbc="T T T"
Ac 2.2470 5.6981 11.5898
Ac 2.2470 -5.6981 3.8633
Ce 2.2470 1.9915 8.7145
Ce 2.2470 1.9915 14.4651
Ce 2.2470 -1.9915 0.9880
Ce 2.2470 -1.9915 6.7386
Te 0.0000 0.0000 0.0000
Te 0.0000 0.0000 7.7266
Te 2.2470 3.3600 1.9086
Te 2.2470 3.3600 5.8180
Te 2.2470 0.6918 11.5898
Te 2.2470 -0.6918 3.8633
Te 2.2470 -3.3600 9.6352
Te 2.2470 -3.3600 13.5445
```

- Space-group type: Cmcm, No. 63
- ΔE_f (raw): -136.44 kJ per mole of atoms

=====

5.
Density functional theory data (PBE) for a geometry-optimized Pm12In3Ag structure.

Structure (extended XYZ):
```
16
Lattice="4.9509 0.0000 0.0000 0.0000 4.9509 0.0000 0.0000 0.0000 19.6498" Properties=species:S:1:pos:R:3 pbc="T T T"
Pm 0.0000 0.0000 0.0000
Pm 0.0000 0.0000 4.8288
Pm 0.0000 0.0000 9.8249
Pm 0.0000 0.0000 14.8210
Pm 0.0000 2.4754 2.3988
Pm 0.0000 2.4754 7.3368
Pm 0.0000 2.4754 12.3130
Pm 0.0000 2.4754 17.2510
Pm 2.4754 0.0000 2.3988
Pm 2.4754 0.0000 7.3368
Pm 2.4754 0.0000 12.3130
Pm 2.4754 0.0000 17.2510
In 2.4754 2.4754 4.8697
In 2.4754 2.4754 9.8249
In 2.4754 2.4754 14.7802
Ag 2.4754 2.4754 0.0000
```

- Space-group type: P4/mmm, No. 123
- ΔE_f: -206 meV/atom

=====

6.
Density functional theory data (PBE) for a geometry-optimized AcSm2SnN4 structure.

Structure (extended XYZ):
```
16
Lattice="1.8617 -6.1138 0.0000 1.8617 6.1138 0.0000 0.0000 0.0000 12.2972" Properties=species:S:1:pos:R:3 pbc="T T T"
Ac 1.8617 4.8214 9.2229
Ac 1.8617 -4.8214 3.0743
Sm 1.8617 1.5726 6.6251
Sm 1.8617 1.5726 11.8207
Sm 1.8617 -1.5726 0.4765
Sm 1.8617 -1.5726 5.6721
Sn 1.8617 4.1818 3.0743
Sn 1.8617 -4.1818 9.2229
N 0.0000 0.0000 0.0000
N 0.0000 0.0000 6.1486
N 1.8617 2.7880 1.5064
N 1.8617 2.7880 4.6422
N 1.8617 0.8276 9.2229
N 1.8617 -0.8276 3.0743
N 1.8617 -2.7880 7.6550
N 1.8617 -2.7880 10.7908
```

- Space-group type: Cmcm, No. 63
- ΔE_f (raw): -80.24 kJ per mole of atoms

=====

7.
Density functional theory data (PBE) for a geometry-optimized Sc2Os3 structure.

Structure (extended XYZ):
```
5
Lattice="3.9402 0.0000 0.0000 -1.9701 3.4123 0.0000 0.0000 0.0000 7.6717" Properties=species:S:1:pos:R:3 pbc="T T T"
Sc 0.0000 2.2749 2.4433
Sc 1.9701 1.1374 5.2284
Os 0.0000 0.0000 3.8358
Os 0.0000 2.2749 7.3166
Os 1.9701 1.1374 0.3551
```

- Space-group type: P-3m1, No. 164
- ΔE to the lowest computed polymorph: 563 meV per atom
- ΔE_f: 413 meV/atom

=====

8.
Density functional theory data (PBE) for a geometry-optimized Na3HoF8 structure.

Structure (extended XYZ):
```
12
Lattice="-2.7046 2.7046 5.6887 2.7046 -2.7046 5.6887 2.7046 2.7046 -5.6887" Properties=species:S:1:pos:R:3 pbc="T T T"
Na 0.0000 0.0000 0.0000
Na 2.7046 0.0000 2.8444
Na 0.0000 2.7046 2.8444
Ho 0.0000 0.0000 5.6887
F 1.4157 1.4157 -1.3469
F 1.2889 -1.2889 4.3419
F 1.4157 1.4157 1.3469
F 1.2889 -1.2889 7.0356
F -1.2889 1.2889 4.3419
F 1.2889 1.2889 4.3419
F -1.2889 1.2889 7.0356
F 1.2889 1.2889 7.0356
```

- Space-group type: I4/mmm, No. 139
- ΔE_f (raw): -262.36 kJ per mole of atoms

=====

9.
Density functional theory data (PBE) for a geometry-optimized PrTc3B3 structure.

Structure (extended XYZ):
```
14
Lattice="8.4153 0.0000 0.0000 -4.2076 7.2878 0.0000 0.0000 0.0000 3.0488" Properties=species:S:1:pos:R:3 pbc="T T T"
Pr 0.0000 4.8586 0.7622
Pr 4.2076 2.4293 2.2866
Tc -2.7850 5.4343 2.2866
Tc 0.8939 2.1588 2.2866
Tc 2.3165 0.3053 0.7622
Tc 1.8911 6.9825 2.2866
Tc 3.3138 5.1290 0.7622
Tc 6.9926 1.8535 0.7622
B -1.7343 3.4157 2.2866
B -0.3823 7.0819 2.2866
B 2.0910 3.2098 0.7622
B 2.1167 4.0780 2.2866
B 4.5900 0.2059 0.7622
B 5.9420 3.8721 0.7622
```

- Space-group type: P6_3/m, No. 176
- ΔE_f: -120 meV/atom

=====

10.
Density functional theory data (PBE) for a geometry-optimized Pm4BPCl2 structure.

Structure (extended XYZ):
```
8
Lattice="6.9989 0.0000 0.0000 0.0000 4.0195 0.0000 -2.3113 0.0000 6.9680" Properties=species:S:1:pos:R:3 pbc="T T T"
Pm 1.0524 0.0000 1.4230
Pm -0.0986 2.0098 5.5086
Pm 4.7862 2.0098 1.4594
Pm 3.6352 0.0000 5.5450
B 0.0000 2.0098 0.0000
P 3.4995 0.0000 0.0000
Cl -1.1556 0.0000 3.4840
Cl 2.3438 2.0098 3.4840
```

- Space-group type: P2/m, No. 10
- ΔE_f (raw): -122.86 kJ per mole of atoms

=====

11.
Density functional theory data (PBE) for a geometry-optimized CaSmEr structure.

Structure (extended XYZ):
```
3
Lattice="3.6316 0.0000 0.0000 -1.8158 3.1451 0.0000 0.0000 0.0000 9.1020" Properties=species:S:1:pos:R:3 pbc="T T T"
Ca 0.0000 0.0000 0.0000
Sm 0.0000 2.0967 5.8783
Er 1.8158 1.0484 3.1113
```

- Space-group type: P3m1, No. 156
- ΔE to the lowest computed polymorph: 7 meV per atom
- ΔE_f: 67 meV/atom

=====

12.
Density functional theory data (PBE) for a geometry-optimized PrGeN2 structure.

Structure (extended XYZ):
```
16
Lattice="7.1485 0.0000 0.0000 0.0000 5.5972 0.0000 -3.1374 0.0000 7.0865" Properties=species:S:1:pos:R:3 pbc="T T T"
Pr 0.3546 0.5021 2.2835
Pr -1.2141 2.2965 5.8267
Pr 5.2251 3.3007 1.2598
Pr 3.6564 5.0951 4.8030
Ge 1.9381 3.2425 2.3635
Ge 0.3694 5.1533 5.9067
Ge 3.6416 0.4439 1.1798
Ge 2.0729 2.3547 4.7230
N 0.2385 3.7620 1.8887
N -1.3302 4.6337 5.4319
N 0.7626 0.9816 4.6846
N 2.3313 1.8170 1.1413
N 1.6798 3.7802 5.9452
N 3.2485 4.6155 2.4019
N 5.3412 0.9634 1.6546
N 3.7725 1.8352 5.1979
```

- Space-group type: P2_1/c, No. 14
- ΔE_f (raw): -58.88 kJ per mole of atoms